Record 1
K3Ag5Br12 | PBE | relaxed

The raw total energy comes out at -2.5469 eV/atom. Its uncorrected formation energy is -0.666 eV/atom. Its symmetry is Ia-3d. The total magnetization comes out at 0.00 μB/f.u.

abc: 15.1625 15.1625 15.1625
angles: 109.47 109.47 109.47
With the nearest neighbours (Å) after each atom.
Fractional positions:
K  0.1250  0.2500  0.3750  8 Br 3.34-3.57
K  0.1250  0.3750  0.7500  8 Br 3.34-3.57
K  0.2500  0.3750  0.1250  8 Br 3.34-3.57
K  0.2500  0.8750  0.6250  8 Br 3.34-3.57
K  0.3750  0.1250  0.2500  8 Br 3.34-3.57
K  0.3750  0.7500  0.1250  8 Br 3.34-3.57
K  0.6250  0.2500  0.8750  8 Br 3.34-3.57
K  0.6250  0.8750  0.7500  8 Br 3.34-3.57
K  0.7500  0.1250  0.3750  8 Br 3.34-3.57
K  0.7500  0.6250  0.8750  8 Br 3.34-3.57
K  0.8750  0.6250  0.2500  8 Br 3.34-3.57
K  0.8750  0.7500  0.6250  8 Br 3.34-3.57
Ag  0.0000  0.0000  0.0000  6 Br 2.74
Ag  0.0000  0.0000  0.5000  6 Br 2.74
Ag  0.0000  0.5000  0.0000  6 Br 2.74
Ag  0.0000  0.5000  0.5000  6 Br 2.74
Ag  0.1250  0.7500  0.8750  4 Br 2.64
Ag  0.1250  0.8750  0.2500  4 Br 2.64
Ag  0.2500  0.1250  0.8750  4 Br 2.64
Ag  0.2500  0.6250  0.3750  4 Br 2.64
Ag  0.3750  0.2500  0.6250  4 Br 2.64
Ag  0.3750  0.6250  0.7500  4 Br 2.64
Ag  0.5000  0.0000  0.0000  6 Br 2.74
Ag  0.5000  0.0000  0.5000  6 Br 2.74
Ag  0.5000  0.5000  0.0000  6 Br 2.74
Ag  0.5000  0.5000  0.5000  6 Br 2.74
Ag  0.6250  0.3750  0.2500  4 Br 2.64
Ag  0.6250  0.7500  0.3750  4 Br 2.64
Ag  0.7500  0.3750  0.6250  4 Br 2.64
Ag  0.7500  0.8750  0.1250  4 Br 2.64
Ag  0.8750  0.1250  0.7500  4 Br 2.64
Ag  0.8750  0.2500  0.1250  4 Br 2.64
Br  0.0213  0.1949  0.1186  2 Ag 2.64-2.74
Br  0.0213  0.3264  0.9028  2 Ag 2.64-2.74
Br  0.0763  0.6949  0.6736  2 Ag 2.64-2.74
Br  0.0763  0.8814  0.4028  2 Ag 2.64-2.74
Br  0.0972  0.6186  0.4237  2 Ag 2.64-2.74
Br  0.0972  0.9787  0.6736  2 Ag 2.64-2.74
Br  0.1186  0.0213  0.1949  2 Ag 2.64-2.74
Br  0.1186  0.5972  0.9237  2 Ag 2.64-2.74
Br  0.1736  0.1949  0.5763  2 Ag 2.64-2.74
Br  0.1736  0.4787  0.5972  2 Ag 2.64-2.74
Br  0.1949  0.1186  0.0213  2 Ag 2.64-2.74
Br  0.1949  0.5763  0.1736  2 Ag 2.64-2.74
Br  0.3051  0.3264  0.9237  2 Ag 2.64-2.74
Br  0.3051  0.4787  0.3814  2 Ag 2.64-2.74
Br  0.3264  0.9028  0.0213  2 Ag 2.64-2.74
Br  0.3264  0.9237  0.3051  2 Ag 2.64-2.74
Br  0.3814  0.3051  0.4787  2 Ag 2.64-2.74
Br  0.3814  0.5763  0.9028  2 Ag 2.64-2.74
Br  0.4028  0.0763  0.8814  2 Ag 2.64-2.74
Br  0.4028  0.8264  0.5213  2 Ag 2.64-2.74
Br  0.4237  0.0972  0.6186  2 Ag 2.64-2.74
Br  0.4237  0.8264  0.8051  2 Ag 2.64-2.74
Br  0.4787  0.3814  0.3051  2 Ag 2.64-2.74
Br  0.4787  0.5972  0.1736  2 Ag 2.64-2.74
Br  0.5213  0.4028  0.8264  2 Ag 2.64-2.74
Br  0.5213  0.6186  0.6949  2 Ag 2.64-2.74
Br  0.5763  0.1736  0.1949  2 Ag 2.64-2.74
Br  0.5763  0.9028  0.3814  2 Ag 2.64-2.74
Br  0.5972  0.1736  0.4787  2 Ag 2.64-2.74
Br  0.5972  0.9237  0.1186  2 Ag 2.64-2.74
Br  0.6186  0.4237  0.0972  2 Ag 2.64-2.74
Br  0.6186  0.6949  0.5213  2 Ag 2.64-2.74
Br  0.6736  0.0763  0.6949  2 Ag 2.64-2.74
Br  0.6736  0.0972  0.9787  2 Ag 2.64-2.74
Br  0.6949  0.5213  0.6186  2 Ag 2.64-2.74
Br  0.6949  0.6736  0.0763  2 Ag 2.64-2.74
Br  0.8051  0.4237  0.8264  2 Ag 2.64-2.74
Br  0.8051  0.8814  0.9787  2 Ag 2.64-2.74
Br  0.8264  0.5213  0.4028  2 Ag 2.64-2.74
Br  0.8264  0.8051  0.4237  2 Ag 2.64-2.74
Br  0.8814  0.4028  0.0763  2 Ag 2.64-2.74
Br  0.8814  0.9787  0.8051  2 Ag 2.64-2.74
Br  0.9028  0.0213  0.3264  2 Ag 2.64-2.74
Br  0.9028  0.3814  0.5763  2 Ag 2.64-2.74
Br  0.9237  0.1186  0.5972  2 Ag 2.64-2.74
Br  0.9237  0.3051  0.3264  2 Ag 2.64-2.74
Br  0.9787  0.6736  0.0972  2 Ag 2.64-2.74
Br  0.9787  0.8051  0.8814  2 Ag 2.64-2.74

Record 2
Co3BiAs | PBE | relaxed

The excess energy over the best structure of this formula in the dataset comes out at 0 meV/atom. The raw total energy comes out at -5.4832 eV/atom. Its symmetry is Pm-3m. For the calculated formation energy, the calculation gives 486 meV per atom. The total magnetization comes out at 2.60 μB/f.u.

abc: 4.4107 4.4107 4.4107
angles: 90.00 90.00 90.00
With the nearest neighbours (Å) after each atom.
Fractional positions:
Co  0.0000  0.0000  0.5000  2 As 2.21
Co  0.0000  0.5000  0.0000  2 As 2.21
Co  0.5000  0.0000  0.0000  2 As 2.21
Bi  0.5000  0.5000  0.5000  12 Co 3.12
As  0.0000  0.0000  0.0000  6 Co 2.21

The highest raw total energy belongs to which entry? K3Ag5Br12

What is the formula in the first record? K3Ag5Br12